The following is a DFT calculation (meta-GGA SCAN) of a PBEsol-optimized structure of Hg2IrAu.

Output
Formation energy, kJ/mol of atoms: 46.56
E above lowest polymorph, eV/f.u.: 0.000
Space group: No. 71
N(E_F), states/eV/f.u.: 1.8
Final energy, eV per atom: -68.66

Cell: 3.028 4.921 5.575 Å, 116.19 105.76 90.00°
Fractional positions:
Au: 0.500 0.000 0.000
Hg: 0.743 0.743 0.487
Hg: 0.257 0.257 0.513
Ir: 0.000 0.500 0.000



The following is a DFT calculation (meta-GGA SCAN) of a PBEsol-optimized structure of Hg2IrAu.

Output
Formation energy, kJ/mol of atoms: 47.41
E above lowest polymorph, eV/f.u.: 0.035
Space group: No. 25
N(E_F), states/eV/f.u.: 2.2
Final energy, eV per atom: -68.66

Cell: 2.972 4.122 5.793 Å, 90.00 90.00 90.00°
Fractional positions:
Au: 0.500 0.500 0.747
Hg: 0.000 0.000 0.986
Hg: 0.500 0.500 0.274
Ir: 0.000 0.000 0.493



The following is a DFT calculation (meta-GGA SCAN) of a PBEsol-optimized structure of HgIrAu.

Output
Formation energy, kJ/mol of atoms: 65.78
Space group: No. 216
N(E_F), states/eV/f.u.: 1.8
Final energy, eV per atom: -68.79

Cell: 4.390 4.390 4.390 Å, 60.00 60.00 60.00°
Fractional positions:
Au: 0.000 0.000 0.000
Hg: 0.500 0.500 0.500
Ir: 0.250 0.250 0.250



The following is a DFT calculation (meta-GGA SCAN) of a PBEsol-optimized structure of HgSbIrAu2.

Output
Space group: No. 123
N(E_F), states/eV/f.u.: 2.2
Energy relative to the elements, uncorrected, eV per atom: 1.661
Final energy, eV per atom: -61.31

Cell: 4.962 4.962 5.235 Å, 90.00 90.00 90.00°
Each line ends with the local moment (μB).
Fractional positions:
Sb: 0.000 0.000 0.500  -0.06
Ir: 0.500 0.500 0.500  1.62
Au: 0.000 0.500 0.000  0.02
Au: 0.500 0.000 0.000  0.02
Hg: 0.000 0.000 0.000  0.01



The following is a DFT calculation (meta-GGA SCAN) of a PBEsol-optimized structure of ZnHgIrAu2.

Output
Formation energy, kJ/mol of atoms: 149.60
Space group: No. 123
N(E_F), states/eV/f.u.: 3.3
Final energy, eV per atom: -56.67

Cell: 5.021 4.998 4.998 Å, 90.00 90.00 90.00°
Fractional positions:
Zn: 0.500 0.500 0.500
Ir: 0.500 0.000 0.000
Au: 0.000 0.000 0.500
Au: 0.000 0.500 0.000
Hg: 0.000 0.000 0.000



The following is a DFT calculation (meta-GGA SCAN) of a PBEsol-optimized structure of K2HgAu.

Output
Formation energy, kJ/mol of atoms: -23.23
Space group: No. 12
N(E_F), states/eV/f.u.: 1.8
Final energy, eV per atom: -38.74

Cell: 3.520 4.683 8.876 Å, 96.88 90.00 112.07°
Fractional positions:
Au: 0.000 0.000 0.500
Hg: 0.500 0.000 0.000
K: 0.743 0.487 0.726
K: 0.257 0.513 0.274



The following is a DFT calculation (meta-GGA SCAN) of a PBEsol-optimized structure of K2HgAu.

Output
Formation energy, kJ/mol of atoms: -30.22
Space group: No. 160
N(E_F), states/eV/f.u.: 1.9
Final energy, eV per atom: -38.81

Cell: 4.847 4.847 7.956 Å, 72.26 72.26 60.00°
Fractional positions:
K: 0.964 0.964 0.107
K: 0.785 0.785 0.644
Au: 0.542 0.542 0.373
Hg: 0.208 0.208 0.377



The following is a DFT calculation (meta-GGA SCAN) of a PBEsol-optimized structure of KHg3Au.

Output
Formation energy, kJ/mol of atoms: -19.99
Space group: No. 221
N(E_F), states/eV/f.u.: 1.8
Final energy, eV per atom: -56.60

Cell: 5.336 5.336 5.336 Å, 90.00 90.00 90.00°
Fractional positions:
K: 0.500 0.500 0.500
Au: 0.000 0.000 0.000
Hg: 0.000 0.500 0.000
Hg: 0.000 0.000 0.500
Hg: 0.500 0.000 0.000